No. 1
{"formula": "KVAsO5", "functional": "GGA-PBEsol", "state": "optimized geometry", "raw_formation_energy_kj_per_mol_atoms": -181.0, "cell": [[6.529, 0.000, 0.000], [0.000, 10.580, 0.000], [0.000, 0.000, 13.005]], "species": ["O", "K", "O", "O", "O", "O", "O", "K", "O", "V", "O", "V", "O", "O", "O", "O", "K", "As", "V", "As", "O", "O", "As", "K", "V", "K", "O", "O", "O", "K", "As", "O", "V", "O", "V", "O", "O", "O", "As", "O", "O", "O", "O", "O", "As", "O", "O", "As", "O", "O", "K", "O", "K", "O", "O", "V", "O", "O", "O", "O", "O", "As", "V", "O"], "fractional_positions": [[0.576, 0.959, 0.209], [0.721, 0.528, 0.615], [0.784, 0.366, 0.899], [0.662, 0.111, 0.598], [0.557, 0.217, 0.782], [0.175, 0.566, 0.110], [0.495, 0.200, 0.985], [0.702, 0.776, 0.391], [0.924, 0.959, 0.709], [0.261, 0.590, 0.256], [0.024, 0.463, 0.740], [0.739, 0.090, 0.744], [0.057, 0.717, 0.718], [0.460, 0.713, 0.767], [0.162, 0.611, 0.902], [0.216, 0.866, 0.101], [0.221, 0.028, 0.885], [0.986, 0.335, 0.819], [0.491, 0.335, 0.871], [0.514, 0.335, 0.319], [0.284, 0.866, 0.601], [0.825, 0.066, 0.890], [0.673, 0.084, 0.997], [0.202, 0.276, 0.109], [0.991, 0.835, 0.629], [0.779, 0.528, 0.115], [0.963, 0.946, 0.505], [0.338, 0.611, 0.402], [0.537, 0.946, 0.005], [0.798, 0.776, 0.891], [0.327, 0.584, 0.003], [0.716, 0.366, 0.399], [0.009, 0.335, 0.371], [0.838, 0.111, 0.098], [0.761, 0.090, 0.244], [0.505, 0.700, 0.015], [0.692, 0.795, 0.606], [0.005, 0.200, 0.485], [0.827, 0.084, 0.497], [0.524, 0.963, 0.760], [0.076, 0.459, 0.291], [0.040, 0.713, 0.267], [0.443, 0.717, 0.218], [0.960, 0.213, 0.733], [0.014, 0.835, 0.181], [0.976, 0.963, 0.260], [0.540, 0.213, 0.233], [0.486, 0.835, 0.681], [0.943, 0.217, 0.282], [0.995, 0.700, 0.515], [0.279, 0.028, 0.385], [0.037, 0.446, 0.495], [0.298, 0.276, 0.609], [0.192, 0.295, 0.894], [0.325, 0.566, 0.610], [0.239, 0.590, 0.756], [0.463, 0.446, 0.995], [0.308, 0.295, 0.394], [0.424, 0.459, 0.791], [0.476, 0.463, 0.240], [0.808, 0.795, 0.106], [0.173, 0.584, 0.503], [0.509, 0.835, 0.129], [0.675, 0.066, 0.390]]}

=====

No. 2
{"formula": "KAsW2O9", "functional": "GGA-PBEsol", "state": "optimized geometry", "raw_formation_energy_kj_per_mol_atoms": -183.4, "cell": [[-1.542, -4.358, 1.918], [8.596, -3.288, -0.560], [3.201, 5.719, 15.569]], "species": ["O", "O", "O", "W", "O", "O", "O", "O", "O", "K", "W", "O", "As", "O", "K", "W", "K", "W", "O", "O", "O", "O", "O", "W", "O", "O", "O", "O", "O", "O", "O", "K", "O", "O", "O", "O", "As", "As", "O", "O", "O", "W", "W", "O", "O", "O", "O", "O", "O", "As", "W", "O"], "fractional_positions": [[0.979, 0.207, 0.632], [0.263, 0.096, 0.253], [0.521, 0.793, 0.132], [0.884, 0.434, 0.166], [0.246, 0.499, 0.485], [0.090, 0.389, 0.265], [0.910, 0.687, 0.706], [0.090, 0.187, 0.794], [0.633, 0.715, 0.979], [0.783, 0.450, 0.909], [0.860, 0.866, 0.949], [0.410, 0.611, 0.765], [0.147, 0.731, 0.776], [0.763, 0.404, 0.747], [0.717, 0.550, 0.409], [0.616, 0.566, 0.666], [0.283, 0.050, 0.091], [0.116, 0.934, 0.334], [0.476, 0.705, 0.611], [0.155, 0.986, 0.908], [0.350, 0.425, 0.638], [0.237, 0.904, 0.753], [0.479, 0.293, 0.368], [0.384, 0.066, 0.834], [0.737, 0.596, 0.247], [0.590, 0.313, 0.206], [0.254, 0.501, 0.985], [0.024, 0.295, 0.111], [0.345, 0.014, 0.408], [0.021, 0.707, 0.868], [0.367, 0.215, 0.521], [0.217, 0.950, 0.591], [0.133, 0.785, 0.021], [0.910, 0.889, 0.235], [0.976, 0.795, 0.389], [0.524, 0.205, 0.889], [0.353, 0.269, 0.276], [0.853, 0.231, 0.724], [0.650, 0.925, 0.862], [0.150, 0.575, 0.138], [0.850, 0.075, 0.362], [0.360, 0.634, 0.051], [0.140, 0.366, 0.551], [0.410, 0.813, 0.294], [0.590, 0.111, 0.735], [0.746, 0.001, 0.515], [0.867, 0.285, 0.479], [0.655, 0.514, 0.092], [0.845, 0.486, 0.592], [0.647, 0.769, 0.224], [0.640, 0.134, 0.449], [0.754, 0.999, 0.015]]}

=====

No. 3
{"formula": "KAs2Os", "functional": "GGA-PBEsol", "state": "optimized geometry", "relative_energy_mev_per_atom": 0.0, "ef_ev_per_atom": 0.0212, "cell": [[-2.965, -0.927, 0.416], [0.315, -2.026, -2.272], [3.908, -4.311, 6.448]], "species": ["Os", "As", "As", "K"], "fractional_positions": [[0.199, 0.699, 0.397], [0.777, 0.277, 0.554], [0.083, 0.083, 0.167], [0.441, 0.441, 0.883]]}

=====

No. 4
{"formula": "KAs2Os", "functional": "GGA-PBEsol", "state": "optimized geometry", "relative_energy_mev_per_atom": 102.1, "ef_ev_per_atom": 0.1232, "cell": [[6.951, 0.000, 0.000], [-3.475, 6.040, 0.042], [0.000, 3.960, 5.713]], "species": ["As", "As", "Os", "As", "K", "Os", "K", "As"], "fractional_positions": [[0.875, 0.250, 0.744], [0.375, 0.250, 0.006], [0.750, 0.500, 0.750], [0.006, 0.750, 0.875], [0.250, 0.500, 0.250], [0.000, 0.000, 0.000], [0.500, 0.000, 0.500], [0.744, 0.750, 0.375]]}

=====

No. 5
{"formula": "KAsP2", "functional": "GGA-PBEsol", "state": "optimized geometry", "ef_ev_per_atom": 0.6330, "cell": [[4.814, 0.000, 0.000], [2.407, 4.169, 0.000], [2.407, 1.390, 3.931]], "species": ["As", "P", "K", "P"], "fractional_positions": [[0.500, 0.500, 0.500], [0.000, 0.000, 0.000], [0.250, 0.250, 0.250], [0.750, 0.750, 0.750]]}

=====

No. 6
{"formula": "K2AsP", "functional": "GGA-PBEsol", "state": "optimized geometry", "relative_energy_mev_per_atom": 353.6, "ef_ev_per_atom": -0.0091, "cell": [[2.992, 0.000, 0.000], [0.000, 5.051, 0.000], [0.000, 0.000, 5.980]], "species": ["K", "K", "P", "As"], "fractional_positions": [[0.000, 0.000, 0.246], [0.000, 0.000, 0.754], [0.500, 0.500, 0.000], [0.500, 0.500, 0.500]]}

=====

No. 7
{"formula": "KAsP2", "functional": "GGA-PBEsol", "state": "optimized geometry", "ef_ev_per_atom": -0.0008, "cell": [[-1.331, 2.950, -5.533], [-3.149, -5.544, 0.658], [-1.877, 3.382, 5.111]], "species": ["As", "K", "P", "P", "K", "P", "As", "P"], "fractional_positions": [[0.000, 0.000, 0.000], [0.000, 0.500, 0.500], [0.594, 0.719, 0.625], [0.906, 0.875, 0.281], [0.500, 0.250, 0.750], [0.406, 0.031, 0.125], [0.500, 0.750, 0.250], [0.094, 0.375, 0.969]]}

=====

No. 8
{"formula": "K7As4P", "functional": "GGA-PBEsol", "state": "optimized geometry", "ef_ev_per_atom": -0.3347, "cell": [[-0.658, -8.015, -1.919], [8.631, -1.198, 2.045], [-2.594, -2.112, 9.712]], "species": ["As", "K", "As", "As", "As", "P", "P", "K", "K", "As", "K", "K", "K", "K", "K", "K", "K", "K", "As", "As", "K", "As", "K", "K"], "fractional_positions": [[0.590, 0.797, 0.692], [0.370, 0.478, 0.224], [0.213, 0.685, 0.500], [0.090, 0.203, 0.192], [0.090, 0.203, 0.808], [0.497, 0.670, 0.500], [0.997, 0.330, 0.000], [0.870, 0.522, 0.724], [0.208, 0.835, 0.785], [0.580, 0.418, 0.500], [0.659, 0.665, 0.000], [0.387, 0.021, 0.500], [0.208, 0.835, 0.215], [0.887, 0.979, 0.000], [0.870, 0.522, 0.276], [0.886, 0.862, 0.500], [0.708, 0.165, 0.285], [0.159, 0.335, 0.500], [0.590, 0.797, 0.308], [0.080, 0.582, 0.000], [0.708, 0.165, 0.715], [0.713, 0.315, 0.000], [0.370, 0.478, 0.776], [0.386, 0.138, 0.000]]}

=====

No. 9
{"formula": "KAsP2", "functional": "GGA-PBEsol", "state": "optimized geometry", "ef_ev_per_atom": 0.0659, "cell": [[-1.960, 2.139, 0.065], [-3.272, -3.038, 1.290], [1.309, 1.025, 5.735]], "species": ["As", "K", "P", "P"], "fractional_positions": [[0.000, 0.000, 0.556], [0.500, 0.500, 0.245], [0.000, 0.000, 0.939], [0.000, 0.500, 0.761]]}

=====

No. 10
{"formula": "KAs2P", "functional": "GGA-PBEsol", "state": "optimized geometry", "ef_ev_per_atom": 0.1923, "cell": [[-2.403, -0.019, -2.046], [1.674, -1.833, -1.948], [-3.247, -7.085, 3.878]], "species": ["P", "As", "As", "K"], "fractional_positions": [[0.500, 0.500, 0.808], [0.500, 0.500, 0.228], [0.000, 0.000, 0.940], [0.000, 0.000, 0.524]]}

=====

No. 11
{"formula": "KAsP2", "functional": "GGA-PBEsol", "state": "optimized geometry", "ef_ev_per_atom": 0.6435, "cell": [[2.923, 0.000, 0.000], [1.462, 2.532, 0.000], [1.462, 0.844, 9.978]], "species": ["P", "P", "As", "K"], "fractional_positions": [[0.755, 0.755, 0.734], [0.245, 0.245, 0.266], [0.500, 0.500, 0.500], [0.000, 0.000, 0.000]]}

=====

No. 12
{"formula": "K2AsP", "functional": "GGA-PBEsol", "state": "optimized geometry", "relative_energy_mev_per_atom": 633.3, "ef_ev_per_atom": 0.2706, "cell": [[5.310, 0.000, 0.000], [2.655, 4.599, 0.000], [2.655, 1.533, 4.336]], "species": ["P", "K", "As", "K"], "fractional_positions": [[0.500, 0.500, 0.500], [0.250, 0.250, 0.250], [0.000, 0.000, 0.000], [0.750, 0.750, 0.750]]}

=====

Total DFT energy (no corrections) / eV/atom: -7.1410; -8.1390; -5.8693; -5.7672; -3.8226; -3.3001; -4.4564; -3.1805; -4.3897; -4.0921; -3.8122; -3.0205
Calculated density / g cm⁻³: 3.62; 5.33; 7.81; 5.28; 3.70; 3.38; 2.91; 2.64; 3.63; 4.21; 3.96; 2.89